Crystalline CsTeHN2 at its relaxed geometry. Source: Alexandria, functional GGA-PBE.

Output
N(E_F) = 0.666 states/eV/atom
excess energy over the best structure of this formula in the dataset = 0 meV per atom

Geometry as CIF:
```
data_CsTeHN2
_chemical_formula_sum 'Cs1 Te1 H1 N2'
_symmetry_space_group_name_H-M 'P 1'
_symmetry_Int_Tables_number 1
_symmetry_space_group_name_Hall 'P 1'
_cell_length_a 4.7864
_cell_length_b 4.7864
_cell_length_c 3.6918
_cell_angle_alpha 90.00
_cell_angle_beta 90.00
_cell_angle_gamma 90.00
loop_
_atom_site_label
_atom_site_fract_x
_atom_site_fract_y
_atom_site_fract_z
Cs1 0.5000 0.5000 0.5000
N1 0.5000 0.0000 0.0000
H1 0.0000 0.0000 0.0000
Te1 0.0000 0.0000 0.5000
N2 0.0000 0.5000 0.0000
```